{"formula": "TlHg2O3", "functional": "PBE", "state": "relaxed", "m_tot_mub_per_fu": 0.00, "space_group": "Cmc2_1 (36)", "rho_kg_m3": 9505, "crystal_system": "orthorhombic", "n_ef_per_ev_cell": 2.32, "e_form_raw_ev_per_atom": -0.351, "lattice": [[5.655, -3.281, 0.000], [5.655, 3.281, 0.000], [0.000, 0.000, 6.154]], "species": ["Tl", "Tl", "Hg", "Hg", "Hg", "Hg", "O", "O", "O", "O", "O", "O"], "frac_coords": [[0.168, 0.832, 0.500], [0.832, 0.168, 0.000], [0.167, 0.498, 0.999], [0.498, 0.167, 0.499], [0.502, 0.833, 0.999], [0.833, 0.502, 0.499], [0.156, 0.844, 0.870], [0.167, 0.508, 0.381], [0.492, 0.833, 0.381], [0.508, 0.167, 0.881], [0.833, 0.492, 0.881], [0.844, 0.156, 0.370]]}